No. 1
Entry from Alexandria via LeMat-Bulk: Ba2Sr2Mg after structural relaxation (PBE).

Properties
- VASP energy (eV per atom) = -1.563
- spin magnetization (μB/cell) = 1.781
- volume (Å³/f.u.) = 274.4
- formation energy (eV/atom) = 0.20
- E above lowest polymorph (eV/atom) = 0.218
- DOS(E_F) (states/eV per atom) = 1.348

Lattice parameters (Å, degrees): 9.1759 9.1759 6.5180 90.00 90.00 90.00
Sites, in units of the cell vectors:
Ba 0.1483 0.3517 0.0000
Ba 0.3517 0.8517 0.0000
Ba 0.6483 0.1483 0.0000
Ba 0.8517 0.6483 0.0000
Sr 0.1680 0.6680 0.5000
Sr 0.3320 0.1680 0.5000
Sr 0.6680 0.8320 0.5000
Sr 0.8320 0.3320 0.5000
Mg 0.0000 0.0000 0.0000
Mg 0.5000 0.5000 0.0000

---

No. 2
Entry from Alexandria via LeMat-Bulk: Ba8Sr2Mg after structural relaxation (PBE).

Properties
- VASP energy (eV per atom) = -1.829
- spin magnetization (μB/cell) = 0.000
- volume (Å³/f.u.) = 634.6
- formation energy (eV/atom) = 0.02
- E above lowest polymorph (eV/atom) = 0.000
- DOS(E_F) (states/eV per atom) = 1.394

Lattice parameters (Å, degrees): 11.7314 11.7314 8.3583 93.36 93.36 33.55
Sites, in units of the cell vectors:
Ba 0.0349 0.0349 0.2602
Ba 0.2235 0.2235 0.1449
Ba 0.3350 0.3350 0.5910
Ba 0.4133 0.4133 0.0872
Ba 0.5867 0.5867 0.9128
Ba 0.6650 0.6650 0.4090
Ba 0.7765 0.7765 0.8551
Ba 0.9651 0.9651 0.7398
Sr 0.1506 0.1506 0.6775
Sr 0.8494 0.8494 0.3225
Mg 0.5000 0.5000 0.5000

---

No. 3
Entry from Alexandria via LeMat-Bulk: Ba5Sr4Mg after structural relaxation (PBE).

Properties
- VASP energy (eV per atom) = -1.795
- spin magnetization (μB/cell) = 0.000
- volume (Å³/f.u.) = 562.6
- formation energy (eV/atom) = 0.00
- DOS(E_F) (states/eV per atom) = 1.269

Lattice parameters (Å, degrees): 4.3964 4.3964 29.1086 90.00 90.00 90.00
Sites, in units of the cell vectors:
Ba 0.0000 0.0000 0.0000
Ba 0.0000 0.0000 0.2125
Ba 0.0000 0.0000 0.4274
Ba 0.0000 0.0000 0.5726
Ba 0.0000 0.0000 0.7875
Sr 0.5000 0.5000 0.1061
Sr 0.5000 0.5000 0.3191
Sr 0.5000 0.5000 0.6809
Sr 0.5000 0.5000 0.8939
Mg 0.5000 0.5000 0.5000